First-principles (meta-GGA SCAN) data for Mn3B2O6 at its PBEsol-relaxed geometry, as listed in the Alexandria database.

formation energy without anion corrections = -2.31 eV per atom

```
data_Mn3B2O6
_symmetry_space_group_name_H-M 'P 1'
_symmetry_Int_Tables_number 1
_symmetry_space_group_name_Hall 'P 1'
_cell_length_a 4.629
_cell_length_b 5.625
_cell_length_c 8.686
_cell_angle_alpha 90.00
_cell_angle_beta 90.00
_cell_angle_gamma 90.00
loop_
_atom_site_label
_atom_site_type_symbol
_atom_site_fract_x
_atom_site_fract_y
_atom_site_fract_z
_atom_site_occupancy
O1 O 0.190 0.288 0.364 1
O2 O 0.190 0.288 0.636 1
O3 O 0.750 0.679 0.000 1
B1 B 0.961 0.759 0.500 1
Mn1 Mn 0.500 0.000 0.311 1
Mn2 Mn 0.500 0.500 0.500 1
O4 O 0.250 0.321 0.000 1
B2 B 0.539 0.259 0.000 1
O5 O 0.810 0.712 0.636 1
O6 O 0.810 0.712 0.364 1
O7 O 0.310 0.788 0.864 1
Mn3 Mn 0.000 0.500 0.811 1
O8 O 0.310 0.788 0.136 1
Mn4 Mn 0.000 0.500 0.189 1
O9 O 0.690 0.212 0.864 1
O10 O 0.750 0.179 0.500 1
O11 O 0.690 0.212 0.136 1
B3 B 0.039 0.241 0.500 1
Mn5 Mn 0.000 0.000 0.000 1
B4 B 0.461 0.741 0.000 1
Mn6 Mn 0.500 0.000 0.689 1
O12 O 0.250 0.821 0.500 1
```

***

First-principles (meta-GGA SCAN) data for Mg3ZnRh at its PBEsol-relaxed geometry, as listed in the Alexandria database.

ΔH_f (0 K) = 69 meV per atom
energy above the most stable polymorph in this dataset = 0.00 kJ/mol of atoms

```
data_Mg3ZnRh
_symmetry_space_group_name_H-M 'P 1'
_symmetry_Int_Tables_number 1
_symmetry_space_group_name_Hall 'P 1'
_cell_length_a 4.884
_cell_length_b 4.884
_cell_length_c 4.884
_cell_angle_alpha 90.00
_cell_angle_beta 90.00
_cell_angle_gamma 90.00
loop_
_atom_site_label
_atom_site_type_symbol
_atom_site_fract_x
_atom_site_fract_y
_atom_site_fract_z
_atom_site_occupancy
Rh1 Rh 0.000 0.000 0.000 1
Mg1 Mg 0.500 0.000 0.000 1
Mg2 Mg 0.000 0.500 0.000 1
Mg3 Mg 0.000 0.000 0.500 1
Zn1 Zn 0.500 0.500 0.500 1
```

***

First-principles (meta-GGA SCAN) data for CoNiSb at its PBEsol-relaxed geometry, as listed in the Alexandria database.

formation energy without anion corrections = 0.19 eV per atom

```
data_CoNiSb
_symmetry_space_group_name_H-M 'P 1'
_symmetry_Int_Tables_number 1
_symmetry_space_group_name_Hall 'P 1'
_cell_length_a 3.099
_cell_length_b 3.467
_cell_length_c 4.445
_cell_angle_alpha 112.96
_cell_angle_beta 110.40
_cell_angle_gamma 90.00
loop_
_atom_site_label
_atom_site_type_symbol
_atom_site_fract_x
_atom_site_fract_y
_atom_site_fract_z
_atom_site_occupancy
Ni1 Ni 0.664 0.664 0.328 1
Co1 Co 0.002 0.002 0.005 1
Sb1 Sb 0.334 0.334 0.667 1
```

***

First-principles (meta-GGA SCAN) data for SrCuBi at its PBEsol-relaxed geometry, as listed in the Alexandria database.

ΔH_f (0 K) = -623 meV per atom

```
data_SrCuBi
_symmetry_space_group_name_H-M 'P 1'
_symmetry_Int_Tables_number 1
_symmetry_space_group_name_Hall 'P 1'
_cell_length_a 4.601
_cell_length_b 4.601
_cell_length_c 8.750
_cell_angle_alpha 90.00
_cell_angle_beta 90.00
_cell_angle_gamma 120.00
loop_
_atom_site_label
_atom_site_type_symbol
_atom_site_fract_x
_atom_site_fract_y
_atom_site_fract_z
_atom_site_occupancy
Cu1 Cu 0.333 0.667 0.750 1
Sr1 Sr 0.000 0.000 0.000 1
Sr2 Sr 0.000 0.000 0.500 1
Bi1 Bi 0.667 0.333 0.750 1
Bi2 Bi 0.333 0.667 0.250 1
Cu2 Cu 0.667 0.333 0.250 1
```

***

First-principles (meta-GGA SCAN) data for Zr5Zn at its PBEsol-relaxed geometry, as listed in the Alexandria database.

ΔH_f (0 K) = -25 meV per atom
energy above the most stable polymorph in this dataset = 3.64 kJ/mol of atoms

```
data_Zr5Zn
_symmetry_space_group_name_H-M 'P 1'
_symmetry_Int_Tables_number 1
_symmetry_space_group_name_Hall 'P 1'
_cell_length_a 5.056
_cell_length_b 5.338
_cell_length_c 5.338
_cell_angle_alpha 120.00
_cell_angle_beta 90.00
_cell_angle_gamma 90.00
loop_
_atom_site_label
_atom_site_type_symbol
_atom_site_fract_x
_atom_site_fract_y
_atom_site_fract_z
_atom_site_occupancy
Zr1 Zr 0.500 0.667 0.333 1
Zn1 Zn 0.500 0.000 0.000 1
Zr2 Zr 0.500 0.333 0.667 1
Zr3 Zr 0.000 0.318 0.318 1
Zr4 Zr 0.000 0.000 0.682 1
Zr5 Zr 0.000 0.682 0.000 1
```

***

First-principles (meta-GGA SCAN) data for BaCd2Sb at its PBEsol-relaxed geometry, as listed in the Alexandria database.

formation energy without anion corrections = -0.34 eV per atom

```
data_BaCd2Sb
_symmetry_space_group_name_H-M 'P 1'
_symmetry_Int_Tables_number 1
_symmetry_space_group_name_Hall 'P 1'
_cell_length_a 3.570
_cell_length_b 4.244
_cell_length_c 7.537
_cell_angle_alpha 90.00
_cell_angle_beta 90.00
_cell_angle_gamma 90.00
loop_
_atom_site_label
_atom_site_type_symbol
_atom_site_fract_x
_atom_site_fract_y
_atom_site_fract_z
_atom_site_occupancy
Cd1 Cd 0.000 0.000 0.057 1
Ba1 Ba 0.500 0.500 0.747 1
Cd2 Cd 0.500 0.500 0.240 1
Sb1 Sb 0.000 0.000 0.456 1
```